{"formula": "MgVNiO4", "functional": "GGA+U", "state": "relaxed", "lattice_angstrom": [[-2.0604, -0.7971, -5.4423], [-1.2132, -5.5379, -1.8991], [-5.6557, -1.7807, -0.7675]], "species": ["Ni", "Ni", "V", "V", "O", "O", "O", "O", "O", "O", "O", "O", "Mg", "Mg"], "fractional_positions": [[0.0000, 0.0000, 0.5000], [0.5000, 0.0000, 0.5000], [0.6238, 0.6262, 0.1262], [0.3762, 0.3738, 0.8738], [0.2454, 0.7538, 0.7554], [0.2454, 0.2554, 0.2538], [0.7567, 0.2438, 0.7438], [0.7546, 0.2462, 0.2446], [0.2433, 0.7562, 0.2562], [0.7546, 0.7446, 0.7462], [0.7443, 0.7562, 0.2562], [0.2557, 0.2438, 0.7438], [0.0000, 0.0000, 0.0000], [0.0000, 0.5000, 0.5000]], "e_tot_ry_per_atom": -0.472}